{"formula": "YIrBr", "functional": "GGA-PBE", "state": "optimized geometry", "e_tot_ev_per_atom": -6.59, "m_tot_mub_per_atom": 0.000, "e_form_raw_ev_per_fu": -2.8, "cell": [[-1.501, -2.358, -2.943], [-4.296, -7.869, 5.696], [-0.684, 7.228, -8.240]], "species": ["Ir", "Ir", "Br", "Br", "Y", "Y"], "frac_coords": [[0.740, 0.549, 0.972], [0.260, 0.451, 0.028], [0.805, 0.609, 0.781], [0.195, 0.391, 0.219], [0.712, 0.116, 0.460], [0.288, 0.884, 0.540]]}